1.
Material: TiTl2AgTe
Method: DFT, PBE
State: relaxed

Summary:
The formation energy from raw total energies comes out at 0.536 eV per atom. The calculation puts the total magnetization at 0.20 μB per cell.

a = 5.375 Å, b = 5.375 Å, c = 5.223 Å
α = 90.00°, β = 90.00°, γ = 90.00°
Space group P4/mmm (No. 123)
One atom of each set of equivalent atoms:
Ti 0.000 0.000 0.000
Tl 0.000 0.500 0.500
Ag 0.000 0.000 0.500
Te 0.500 0.500 0.000

---

2.
Material: UTi2Ag2Te6
Method: DFT, PBE
State: relaxed

Summary:
The formation energy from raw total energies comes out at -0.460 eV per atom. The calculation puts the total magnetization at 8.04 μB per cell.

a = 7.109 Å, b = 12.417 Å, c = 7.208 Å
α = 90.00°, β = 96.66°, γ = 90.00°
Space group C2/m (No. 12)
One atom of each set of equivalent atoms:
U 0.000 0.000 0.000
Ti 0.000 0.349 0.000
Ag 0.000 0.113 0.500
Te 0.174 0.500 0.252
Te 0.206 0.185 0.222

---

3.
Material: TiV2Ag2Te6
Method: DFT, PBE
State: relaxed

Summary:
The formation energy from raw total energies comes out at -0.275 eV per atom. The calculation puts the total magnetization at 7.87 μB per cell.

a = 6.625 Å, b = 11.515 Å, c = 7.827 Å
α = 90.00°, β = 105.64°, γ = 90.00°
Space group C2/m (No. 12)
One atom of each set of equivalent atoms:
Ti 0.000 0.000 0.000
V 0.000 0.355 0.000
Ag 0.000 0.191 0.500
Te 0.229 0.175 0.210
Te 0.247 0.500 0.239

---

4.
Material: TiVAg2Te
Method: DFT, PBE
State: relaxed

Summary:
The formation energy from raw total energies comes out at 1.288 eV per atom. The calculation puts the total magnetization at 1.66 μB per cell.

a = 5.112 Å, b = 5.112 Å, c = 5.084 Å
α = 90.00°, β = 90.00°, γ = 90.00°
Space group P4/mmm (No. 123)
One atom of each set of equivalent atoms:
Ti 0.000 0.000 0.000
V 0.500 0.500 0.000
Ag 0.000 0.500 0.500
Te 0.000 0.000 0.500

---

5.
Material: Y3TiAg3Te8
Method: DFT, PBE
State: relaxed

Summary:
The formation energy from raw total energies comes out at -0.778 eV per atom. The calculation puts the total magnetization at 0.14 μB per cell.

a = 14.897 Å, b = 8.601 Å, c = 8.725 Å
α = 90.00°, β = 124.78°, γ = 90.00°
Space group C2/m (No. 12)
One atom of each set of equivalent atoms:
Y 0.000 0.000 0.000
Y 0.250 0.250 0.000
Ti 0.000 0.500 0.000
Ag 0.000 0.500 0.500
Ag 0.250 0.250 0.500
Te 0.002 0.269 0.236
Te 0.233 0.500 0.236
Te 0.247 0.500 0.742

---

6.
Material: Tl3AgTe
Method: DFT, PBE
State: relaxed

Summary:
The formation energy from raw total energies comes out at 0.042 eV per atom. The energy above the lowest structure with this stoichiometry comes out at 0 meV per atom. The calculation puts the total magnetization at 0.00 μB per cell.

a = 5.536 Å, b = 5.536 Å, c = 5.536 Å
α = 90.00°, β = 90.00°, γ = 90.00°
Space group Pm-3m (No. 221)
One atom of each set of equivalent atoms:
Tl 0.000 0.000 0.500
Ag 0.000 0.000 0.000
Te 0.500 0.500 0.500

---

7.
Material: TlAgTe5
Method: DFT, PBE
State: relaxed

Summary:
The formation energy from raw total energies comes out at 0.040 eV per atom. The calculation puts the total magnetization at 0.00 μB per cell.

a = 10.526 Å, b = 12.982 Å, c = 7.430 Å
α = 90.00°, β = 118.14°, γ = 90.00°
Space group C2/c (No. 15)
One atom of each set of equivalent atoms:
Tl 0.000 0.249 0.250
Ag 0.250 0.250 0.000
Te 0.000 0.121 0.750
Te 0.114 0.404 0.689
Te 0.218 0.090 0.595

---

8.
Material: Tl2Ag2Te
Method: DFT, PBE
State: relaxed

Summary:
The formation energy from raw total energies comes out at 0.073 eV per atom. The energy above the lowest structure with this stoichiometry comes out at 93 meV per atom. The calculation puts the total magnetization at 0.00 μB per cell.

a = 3.950 Å, b = 3.950 Å, c = 18.004 Å
α = 90.00°, β = 90.00°, γ = 90.00°
Space group I4/mmm (No. 139)
One atom of each set of equivalent atoms:
Tl 0.000 0.000 0.103
Ag 0.000 0.500 0.250
Te 0.000 0.000 0.500

---

9.
Material: TlAg2Te
Method: DFT, PBE
State: relaxed

Summary:
The formation energy from raw total energies comes out at 0.028 eV per atom. The energy above the lowest structure with this stoichiometry comes out at 0 meV per atom. The calculation puts the total magnetization at 0.00 μB per cell.

a = 4.225 Å, b = 4.456 Å, c = 5.679 Å
α = 90.00°, β = 111.71°, γ = 90.00°
Space group Pm (No. 6)
One atom of each set of equivalent atoms:
Tl 0.000 0.000 0.000
Ag 0.551 0.500 0.101
Ag 0.742 0.000 0.442
Te 0.301 0.500 0.545

---

10.
Material: TlAg2Te
Method: DFT, PBE
State: relaxed

Summary:
The formation energy from raw total energies comes out at 0.117 eV per atom. The energy above the lowest structure with this stoichiometry comes out at 90 meV per atom. The calculation puts the total magnetization at 0.00 μB per cell.

a = 4.339 Å, b = 4.339 Å, c = 10.265 Å
α = 90.00°, β = 90.00°, γ = 90.00°
Space group I-4m2 (No. 119)
One atom of each set of equivalent atoms:
Tl 0.000 0.000 0.000
Ag 0.000 0.000 0.500
Ag 0.000 0.500 0.750
Te 0.000 0.500 0.250

---

11.
Material: TlAgTe4
Method: DFT, PBE
State: relaxed

Summary:
The formation energy from raw total energies comes out at 0.277 eV per atom. The energy above the lowest structure with this stoichiometry comes out at 290 meV per atom. The calculation puts the total magnetization at 0.00 μB per cell.

a = 9.150 Å, b = 9.150 Å, c = 9.150 Å
α = 90.00°, β = 90.00°, γ = 90.00°
Space group F-43m (No. 216)
One atom of each set of equivalent atoms:
Tl 0.000 0.000 0.000
Ag 0.250 0.250 0.750
Te 0.124 0.124 0.376

---

12.
Material: Tl2AgTe
Method: DFT, PBE
State: relaxed

Summary:
The formation energy from raw total energies comes out at 0.082 eV per atom. The energy above the lowest structure with this stoichiometry comes out at 155 meV per atom. The calculation puts the total magnetization at 0.00 μB per cell.

a = 4.062 Å, b = 5.163 Å, c = 10.598 Å
α = 90.00°, β = 90.00°, γ = 90.00°
Space group Cmm2 (No. 35)
One atom of each set of equivalent atoms:
Tl 0.000 0.000 0.000
Tl 0.000 0.500 0.275
Ag 0.000 0.500 0.784
Te 0.000 0.000 0.572